NaMoP2Se: optimized geometry, PBE.

Results
Total energy, eV per atom: -3.3349
Uncorrected formation energy, meV/atom: 1955.9
Space-group type: P4/mmm

Cell lengths 4.5948, 5.0315, 4.5948 Å; angles 90.00, 90.00, 90.00 degrees
Each line ends with the local moment (μB).
Element x y z (fractional)
P1 0.5000 0.0000 0.0000  -0.01
P2 0.0000 0.0000 0.5000  0.01
Mo1 0.0000 0.5000 0.0000  -0.14
Na1 0.0000 0.0000 0.0000  0.00
Se1 0.5000 0.5000 0.5000  0.04